Model A:
Compound: YZn3I
Source: Alexandria
Functional: GGA-PBE
Structure: relaxed

Unit cell a=5.8156 b=5.8156 c=5.8156 alpha=90.00 beta=90.00 gamma=90.00
Sites, in units of the cell vectors:
Y 0.0000 0.0000 0.0000
Zn 0.0000 0.0000 0.5000
Zn 0.0000 0.5000 0.0000
Zn 0.5000 0.0000 0.0000
I 0.5000 0.5000 0.5000

Computed properties:
Total moment ... 0.0 μB per formula unit
Space group ... No. 221



Model B:
Compound: YZn3I
Source: Alexandria
Functional: GGA-PBE
Structure: relaxed

Unit cell a=5.2827 b=5.2827 c=5.2827 alpha=90.00 beta=90.00 gamma=90.00
Sites, in units of the cell vectors:
Y 0.0000 0.0000 0.0000
Zn 0.0000 0.5000 0.5000
Zn 0.5000 0.0000 0.5000
Zn 0.5000 0.5000 0.0000
I 0.5000 0.5000 0.5000

Computed properties:
Total moment ... 0.0 μB per formula unit
Space group ... No. 221



Q: Which of them is the most stable? A: model A.



Model A:
Compound: YZnI3
Source: Alexandria
Functional: GGA-PBE
Structure: relaxed

Unit cell a=5.5284 b=5.5284 c=5.5284 alpha=90.00 beta=90.00 gamma=90.00
Sites, in units of the cell vectors:
Y 0.0000 0.0000 0.0000
Zn 0.5000 0.5000 0.5000
I 0.0000 0.5000 0.5000
I 0.5000 0.0000 0.5000
I 0.5000 0.5000 0.0000

Computed properties:
Total moment ... 1.0 μB per formula unit
Space group ... No. 221



Model B:
Compound: YZnI3
Source: Alexandria
Functional: GGA-PBE
Structure: relaxed

Unit cell a=6.0439 b=6.0439 c=6.0439 alpha=90.00 beta=90.00 gamma=90.00
Sites, in units of the cell vectors:
Y 0.0000 0.0000 0.0000
Zn 0.5000 0.5000 0.5000
I 0.0000 0.0000 0.5000
I 0.0000 0.5000 0.0000
I 0.5000 0.0000 0.0000

Computed properties:
Total moment ... 0.0 μB per formula unit
Space group ... No. 221



Q: Which of them is the most stable? A: model B.



Model A:
Compound: YZnI2
Source: Alexandria
Functional: GGA-PBE
Structure: relaxed

Unit cell a=5.4752 b=5.4752 c=5.4752 alpha=60.00 beta=60.00 gamma=60.00
Sites, in units of the cell vectors:
Y 0.0000 0.0000 0.0000
Zn 0.5000 0.5000 0.5000
I 0.2500 0.2500 0.2500
I 0.7500 0.7500 0.7500

Computed properties:
Total moment ... 1.0 μB per formula unit
Space group ... No. 225



Model B:
Compound: YZnI2
Source: Alexandria
Functional: GGA-PBE
Structure: relaxed

Unit cell a=8.2953 b=8.2953 c=8.2953 alpha=97.66 beta=97.66 gamma=137.17
Sites, in units of the cell vectors:
Y 0.0000 0.0000 0.0000
Y 0.7500 0.2500 0.5000
Zn 0.2500 0.7500 0.5000
Zn 0.5000 0.5000 0.0000
I 0.3750 0.2270 0.3520
I 0.7730 0.1250 0.1480
I 0.8750 0.0230 0.6480
I 0.9770 0.6250 0.8520

Computed properties:
Total moment ... 0.0 μB per formula unit
Space group ... No. 122



Q: Which of them is the most stable? A: model B.



Model A:
Compound: Y2ZnI
Source: Alexandria
Functional: GGA-PBE
Structure: relaxed

Unit cell a=8.4001 b=8.4001 c=8.4001 alpha=133.98 beta=133.98 gamma=67.12
Sites, in units of the cell vectors:
Y 0.0731 0.6250 0.9481
Y 0.3750 0.3231 0.4481
Y 0.6769 0.1250 0.0519
Y 0.8750 0.9269 0.5519
Zn 0.0000 0.0000 0.0000
Zn 0.7500 0.2500 0.5000
I 0.2500 0.7500 0.5000
I 0.5000 0.5000 0.0000

Computed properties:
Total moment ... 0.0 μB per formula unit
Space group ... No. 122



Model B:
Compound: Y2ZnI
Source: Alexandria
Functional: GGA-PBE
Structure: relaxed

Unit cell a=11.1939 b=11.1939 c=11.1939 alpha=18.83 beta=18.83 gamma=18.83
Sites, in units of the cell vectors:
Y 0.0908 0.0908 0.0908
Y 0.9092 0.9092 0.9092
Zn 0.0000 0.0000 0.0000
I 0.5000 0.5000 0.5000

Computed properties:
Total moment ... 0.0 μB per formula unit
Space group ... No. 166



Model C:
Compound: Y2ZnI
Source: Alexandria
Functional: GGA-PBE
Structure: relaxed

Unit cell a=5.2896 b=5.2896 c=5.2896 alpha=60.00 beta=60.00 gamma=60.00
Sites, in units of the cell vectors:
Y 0.2500 0.2500 0.2500
Y 0.7500 0.7500 0.7500
Zn 0.0000 0.0000 0.0000
I 0.5000 0.5000 0.5000

Computed properties:
Total moment ... 0.0 μB per formula unit
Space group ... No. 225



Q: Which of them is the most stable? A: model C.